This record from Alexandria describes SnBi2Pd2 after structural relaxation. The functional is GGA-PBE. Values from VASP.

```
&SYSTEM
  ibrav = 0, nat = 10, ntyp = 3
/
ATOMIC_SPECIES
Sn 118.71 Sn.upf
Bi 208.98 Bi.upf
Pd 106.42 Pd.upf
ATOMIC_POSITIONS angstrom
Sn 0.0000 0.0000 0.0000
Sn 3.6759 3.6759 0.0000
Bi 1.1920 2.4839 2.1412
Bi 2.4839 6.1597 2.1412
Bi 4.8679 1.1920 2.1412
Bi 6.1597 4.8679 2.1412
Pd 1.0107 4.6866 0.0000
Pd 2.6652 1.0107 0.0000
Pd 4.6866 6.3411 0.0000
Pd 6.3411 2.6652 0.0000
CELL_PARAMETERS angstrom
7.3518 0.0000 0.0000
0.0000 7.3518 0.0000
0.0000 0.0000 4.2823
```

## Properties
- Energy relative to the lowest polymorph listed for this composition: 67 meV/atom
- Space-group type: No. 127
- Final energy: -0.3405 Ry per atom

***

This record from Alexandria describes CdNi3Sn after structural relaxation. The functional is GGA-PBE. Values from VASP.

```
&SYSTEM
  ibrav = 0, nat = 10, ntyp = 3
/
ATOMIC_SPECIES
Cd 112.41 Cd.upf
Ni 58.69 Ni.upf
Sn 118.71 Sn.upf
ATOMIC_POSITIONS angstrom
Cd 0.0000 2.6719 0.5900
Cd 2.5458 2.6719 2.6759
Ni 1.2729 3.8839 -1.6329
Ni 1.2729 -1.4599 1.6329
Ni 2.5458 2.6719 0.0488
Ni 0.0000 2.6719 3.2171
Ni -1.2729 6.8037 1.6329
Ni 1.2729 6.8037 1.6329
Sn 2.5458 0.0000 0.0000
Sn 0.0000 0.0000 3.2659
CELL_PARAMETERS angstrom
-2.5458 5.3438 3.2659
2.5458 -5.3438 3.2659
2.5458 5.3438 -3.2659
```

## Properties
- Energy relative to the lowest polymorph listed for this composition: 0 meV/atom
- Space-group type: No. 74
- Final energy: -0.3215 Ry per atom

***

This record from Alexandria describes GdEr2Pt after structural relaxation. The functional is GGA-PBE. Values from VASP.

```
&SYSTEM
  ibrav = 0, nat = 4, ntyp = 3
/
ATOMIC_SPECIES
Gd 157.25 Gd.upf
Er 167.26 Er.upf
Pt 195.08 Pt.upf
ATOMIC_POSITIONS angstrom
Gd 0.0000 0.0000 0.0000
Er 1.7680 1.7680 2.6236
Er 1.7680 1.7680 5.8738
Pt 0.0000 0.0000 4.2487
CELL_PARAMETERS angstrom
3.5360 0.0000 0.0000
0.0000 3.5360 0.0000
0.0000 0.0000 8.4974
```

## Properties
- Energy relative to the lowest polymorph listed for this composition: 0 meV/atom
- Space-group type: No. 123
- Final energy: -0.5829 Ry per atom

***

This record from Alexandria describes MgMoAs2P after structural relaxation. The functional is GGA-PBE. Values from VASP.

```
&SYSTEM
  ibrav = 0, nat = 5, ntyp = 4
/
ATOMIC_SPECIES
Mg 24.30 Mg.upf
Mo 95.94 Mo.upf
As 74.92 As.upf
P 30.97 P.upf
ATOMIC_POSITIONS angstrom
Mg 0.0000 0.0000 0.0000
Mo 0.0000 0.0000 2.6487
As 0.0000 2.3904 2.6487
As 2.3904 0.0000 2.6487
P 2.3904 2.3904 0.0000
CELL_PARAMETERS angstrom
4.7809 0.0000 0.0000
0.0000 4.7809 0.0000
0.0000 0.0000 5.2974
```

## Properties
- Energy relative to the lowest polymorph listed for this composition: 417 meV/atom
- Space-group type: No. 123
- Final energy: -0.3456 Ry per atom